The following is a meta-GGA SCAN calculation of K4GeH4N2O3 at its PBEsol-relaxed geometry, from Alexandria via LeMat-Bulk.

extended XYZ file:
```
56
Lattice="-3.837 -2.279 4.621 4.514 -9.705 -1.038 6.626 5.740 8.334" Properties=species:S:1:pos:R:3 pbc="T T T"
K 5.396 -3.558 6.292
K 4.075 -0.495 11.171
K 1.907 -2.686 5.625
K 3.228 -5.748 0.746
K 6.517 -0.977 8.333
K 3.093 -2.993 8.961
K 0.785 -5.266 3.584
K 4.209 -3.250 2.956
K 8.630 -3.817 8.037
K 1.539 0.179 8.584
K -1.328 -2.426 3.880
K 5.764 -6.422 3.333
K 4.885 1.926 8.495
K 4.652 -5.939 8.887
K 2.417 -8.169 3.422
K 2.651 -0.304 3.030
Ge 4.146 -0.156 6.107
Ge 6.033 -3.476 10.503
Ge 3.157 -6.087 5.810
Ge 1.270 -2.767 1.414
H 2.741 1.850 6.083
H 7.306 -5.561 10.685
H 4.561 -8.094 5.833
H -0.003 -0.682 1.232
H 1.783 0.524 5.823
H 0.616 -10.582 3.842
H 5.520 -6.767 6.094
H 6.686 4.338 8.075
H 4.445 -9.248 1.864
H -0.886 -0.121 6.404
H 2.858 3.005 10.053
H 8.188 -6.122 5.513
H 7.212 -5.960 6.787
H 2.111 1.819 10.853
H 0.090 -0.283 5.130
H 5.192 -8.063 1.064
N 2.690 0.962 5.549
N 7.403 -4.645 11.163
N 4.612 -7.205 6.368
N -0.100 -1.599 0.754
N 7.324 -5.637 5.811
N 3.055 2.123 10.558
N -0.021 -0.606 6.106
N 4.247 -8.366 1.359
O 0.815 -4.391 0.895
O 3.045 -4.799 7.011
O 6.488 -1.852 11.022
O 4.257 -1.444 4.906
O 1.217 -2.573 3.161
O 1.753 -7.146 5.816
O 6.085 -3.671 8.756
O 5.549 0.903 6.101
O 3.458 -5.470 4.184
O -0.996 -4.550 5.404
O 3.844 -0.773 7.733
O 8.298 -1.693 6.513
```

Results
SG = P2_1/c (14)
Uncorrected energy = -476.06 eV for the cell shown
Spin magnetization = 0.004 μB/atom

---

The following is a meta-GGA SCAN calculation of La2GeH at its PBEsol-relaxed geometry, from Alexandria via LeMat-Bulk.

extended XYZ file:
```
4
Lattice="-1.980 -3.501 -2.984 2.978 -3.302 -2.304 -0.003 -4.799 1.430" Properties=species:S:1:pos:R:3 pbc="T T T"
H 0.000 0.000 0.000
Ge 0.498 -5.801 -1.929
La 0.249 -2.901 -0.965
La 0.746 -8.702 -2.894
```

Results
SG = Fm-3m (225)
Uncorrected energy = -111.09 eV for the cell shown
Spin magnetization = 0.000 μB/atom

---

Repeat the first record exactly.
The following is a meta-GGA SCAN calculation of K4GeH4N2O3 at its PBEsol-relaxed geometry, from Alexandria via LeMat-Bulk.

extended XYZ file:
```
56
Lattice="-3.837 -2.279 4.621 4.514 -9.705 -1.038 6.626 5.740 8.334" Properties=species:S:1:pos:R:3 pbc="T T T"
K 5.396 -3.558 6.292
K 4.075 -0.495 11.171
K 1.907 -2.686 5.625
K 3.228 -5.748 0.746
K 6.517 -0.977 8.333
K 3.093 -2.993 8.961
K 0.785 -5.266 3.584
K 4.209 -3.250 2.956
K 8.630 -3.817 8.037
K 1.539 0.179 8.584
K -1.328 -2.426 3.880
K 5.764 -6.422 3.333
K 4.885 1.926 8.495
K 4.652 -5.939 8.887
K 2.417 -8.169 3.422
K 2.651 -0.304 3.030
Ge 4.146 -0.156 6.107
Ge 6.033 -3.476 10.503
Ge 3.157 -6.087 5.810
Ge 1.270 -2.767 1.414
H 2.741 1.850 6.083
H 7.306 -5.561 10.685
H 4.561 -8.094 5.833
H -0.003 -0.682 1.232
H 1.783 0.524 5.823
H 0.616 -10.582 3.842
H 5.520 -6.767 6.094
H 6.686 4.338 8.075
H 4.445 -9.248 1.864
H -0.886 -0.121 6.404
H 2.858 3.005 10.053
H 8.188 -6.122 5.513
H 7.212 -5.960 6.787
H 2.111 1.819 10.853
H 0.090 -0.283 5.130
H 5.192 -8.063 1.064
N 2.690 0.962 5.549
N 7.403 -4.645 11.163
N 4.612 -7.205 6.368
N -0.100 -1.599 0.754
N 7.324 -5.637 5.811
N 3.055 2.123 10.558
N -0.021 -0.606 6.106
N 4.247 -8.366 1.359
O 0.815 -4.391 0.895
O 3.045 -4.799 7.011
O 6.488 -1.852 11.022
O 4.257 -1.444 4.906
O 1.217 -2.573 3.161
O 1.753 -7.146 5.816
O 6.085 -3.671 8.756
O 5.549 0.903 6.101
O 3.458 -5.470 4.184
O -0.996 -4.550 5.404
O 3.844 -0.773 7.733
O 8.298 -1.693 6.513
```

Results
SG = P2_1/c (14)
Uncorrected energy = -476.06 eV for the cell shown
Spin magnetization = 0.004 μB/atom

---

Question: What is the uncorrected energy in the first record?
Answer: -476.06 eV for the cell shown